Record 1
Tl3InF4: relaxed, PBE-GGA.

Summary:
Raw formation energy in eV per atom: -1.739

CIF file:
```
data_Tl3InF4
_cell_length_a 7.7327
_cell_length_b 7.0918
_cell_length_c 7.1114
_cell_angle_alpha 90.00
_cell_angle_beta 90.00
_cell_angle_gamma 90.00
_space_group_name_H-M_alt 'P m n 21'
_space_group_IT_number 31
loop_
_space_group_symop_operation_xyz
'x,y,z'
'-x+1/2,-y,z+1/2'
'-x,y,z'
'x+1/2,-y,z+1/2'
loop_
_atom_site_label
_atom_site_type_symbol
_atom_site_fract_x
_atom_site_fract_y
_atom_site_fract_z
Tl1 Tl 0.0000 0.0984 0.0000
Tl2 Tl 0.2488 0.3903 0.4978
In1 In 0.0000 0.8799 0.5307
F1 F 0.0000 0.4119 0.1407
F2 F 0.0000 0.5976 0.6763
F3 F 0.2176 0.7526 0.3618
```



Record 2
Pm6YCo3: relaxed, PBE-GGA.

CIF file:
```
data_Pm6YCo3
_cell_length_a 10.1766
_cell_length_b 14.2238
_cell_length_c 7.4603
_cell_angle_alpha 90.00
_cell_angle_beta 90.00
_cell_angle_gamma 90.00
_space_group_name_H-M_alt 'C m c 21'
_space_group_IT_number 36
loop_
_space_group_symop_operation_xyz
'x,y,z'
'-x,-y,z+1/2'
'-x,y,z'
'x,-y,z+1/2'
'x+1/2,y+1/2,z'
'-x+1/2,-y+1/2,z+1/2'
'-x+1/2,y+1/2,z'
'x+1/2,-y+1/2,z+1/2'
loop_
_atom_site_label
_atom_site_type_symbol
_atom_site_fract_x
_atom_site_fract_y
_atom_site_fract_z
Pm1 Pm 0.0000 0.0128 0.0000
Pm2 Pm 0.0000 0.3436 0.6016
Pm3 Pm 0.1773 0.4472 0.2307
Pm4 Pm 0.1984 0.1845 0.3591
Y1 Y 0.0000 0.2551 0.0169
Co1 Co 0.0000 0.4362 0.9226
Co2 Co 0.1115 0.1641 0.7075
```



Record 3
ZnPbBrO2: relaxed, PBE-GGA.

Summary:
Raw formation energy in eV per atom: -0.167

CIF file:
```
data_ZnPbBrO2
_cell_length_a 4.1834
_cell_length_b 4.1834
_cell_length_c 6.4301
_cell_angle_alpha 90.00
_cell_angle_beta 90.00
_cell_angle_gamma 90.00
_space_group_name_H-M_alt 'P 4/m m m'
_space_group_IT_number 123
_space_group_name_Hall '-P 4 2'
loop_
_atom_site_label
_atom_site_type_symbol
_atom_site_fract_x
_atom_site_fract_y
_atom_site_fract_z
Zn1 Zn 0.0000 0.0000 0.0000
Pb1 Pb 0.5000 0.5000 0.5000
Br1 Br 0.5000 0.5000 0.0000
O1 O 0.0000 0.5000 0.5000
```



Record 4
LuScAl2: relaxed, PBE-GGA.

CIF file:
```
data_LuScAl2
_cell_length_a 3.4537
_cell_length_b 3.4537
_cell_length_c 6.8859
_cell_angle_alpha 90.00
_cell_angle_beta 90.00
_cell_angle_gamma 90.00
_space_group_name_H-M_alt 'P 4/m m m'
_space_group_IT_number 123
_space_group_name_Hall '-P 4 2'
loop_
_atom_site_label
_atom_site_type_symbol
_atom_site_fract_x
_atom_site_fract_y
_atom_site_fract_z
Lu1 Lu 0.0000 0.0000 0.0000
Sc1 Sc 0.0000 0.0000 0.5000
Al1 Al 0.5000 0.5000 0.2651
```



Record 5
MgHPd3: relaxed, PBE-GGA.

CIF file:
```
data_MgHPd3
_cell_length_a 10.7224
_cell_length_b 9.2375
_cell_length_c 5.7134
_cell_angle_alpha 90.00
_cell_angle_beta 105.15
_cell_angle_gamma 90.00
_space_group_name_H-M_alt 'C 1 2/c 1'
_space_group_IT_number 15
loop_
_space_group_symop_operation_xyz
'x,y,z'
'-x,-y,-z'
'-x,y,-z+1/2'
'x,-y,z+1/2'
'x+1/2,y+1/2,z'
'-x+1/2,-y+1/2,-z'
'-x+1/2,y+1/2,-z+1/2'
'x+1/2,-y+1/2,z+1/2'
loop_
_atom_site_label
_atom_site_type_symbol
_atom_site_fract_x
_atom_site_fract_y
_atom_site_fract_z
Mg1 Mg 0.0000 0.0008 0.2500
Mg2 Mg 0.0000 0.4143 0.2500
H1 H 0.1803 0.3729 0.8370
Pd1 Pd 0.1351 0.2088 0.5697
Pd2 Pd 0.1361 0.2072 0.0702
Pd3 Pd 0.2132 0.4993 0.6023
```



Record 6
TaTl3Ag2Te6: relaxed, PBE-GGA.

Summary:
Raw formation energy in eV per atom: -0.147

CIF file:
```
data_TaTl3Ag2Te6
_cell_length_a 7.5293
_cell_length_b 12.9155
_cell_length_c 7.9416
_cell_angle_alpha 90.00
_cell_angle_beta 109.16
_cell_angle_gamma 90.00
_space_group_name_H-M_alt 'C 1 2/m 1'
_space_group_IT_number 12
loop_
_space_group_symop_operation_xyz
'x,y,z'
'-x,-y,-z'
'-x,y,-z'
'x,-y,z'
'x+1/2,y+1/2,z'
'-x+1/2,-y+1/2,-z'
'-x+1/2,y+1/2,-z'
'x+1/2,-y+1/2,z'
loop_
_atom_site_label
_atom_site_type_symbol
_atom_site_fract_x
_atom_site_fract_y
_atom_site_fract_z
Ta1 Ta 0.0000 0.0000 0.0000
Tl1 Tl 0.0000 0.1610 0.5000
Tl2 Tl 0.0000 0.5000 0.5000
Ag1 Ag 0.0000 0.3312 0.0000
Te1 Te 0.2229 0.1584 0.2072
Te2 Te 0.2493 0.5000 0.2010
```



Record 7
CdMoPb2: relaxed, PBE-GGA.

CIF file:
```
data_CdMoPb2
_cell_length_a 3.7467
_cell_length_b 3.7467
_cell_length_c 6.5243
_cell_angle_alpha 90.00
_cell_angle_beta 90.00
_cell_angle_gamma 90.00
_space_group_name_H-M_alt 'P 4/m m m'
_space_group_IT_number 123
_space_group_name_Hall '-P 4 2'
loop_
_atom_site_label
_atom_site_type_symbol
_atom_site_fract_x
_atom_site_fract_y
_atom_site_fract_z
Cd1 Cd 0.0000 0.0000 0.0000
Mo1 Mo 0.0000 0.0000 0.5000
Pb1 Pb 0.5000 0.5000 0.2671
```



Record 8
Sr5GaAs8: relaxed, PBE-GGA.

CIF file:
```
data_Sr5GaAs8
_cell_length_a 9.9360
_cell_length_b 9.9360
_cell_length_c 8.1201
_cell_angle_alpha 90.00
_cell_angle_beta 90.00
_cell_angle_gamma 90.00
_space_group_name_H-M_alt 'I -4'
_space_group_IT_number 82
loop_
_space_group_symop_operation_xyz
'x,y,z'
'y,-x,-z'
'-x,-y,z'
'-y,x,-z'
'x+1/2,y+1/2,z+1/2'
'y+1/2,-x+1/2,-z+1/2'
'-x+1/2,-y+1/2,z+1/2'
'-y+1/2,x+1/2,-z+1/2'
loop_
_atom_site_label
_atom_site_type_symbol
_atom_site_fract_x
_atom_site_fract_y
_atom_site_fract_z
Sr1 Sr 0.0000 0.0000 0.0000
Sr2 Sr 0.1778 0.2490 0.6711
Ga1 Ga 0.0000 0.5000 0.2500
As1 As 0.0089 0.2942 0.0779
As2 As 0.0613 0.1236 0.3352
```



Record 9
Ac2In6NiAg: relaxed, PBE-GGA.

CIF file:
```
data_Ac2In6NiAg
_cell_length_a 6.9813
_cell_length_b 6.9813
_cell_length_c 6.2507
_cell_angle_alpha 90.00
_cell_angle_beta 90.00
_cell_angle_gamma 120.00
_space_group_name_H-M_alt 'P -3 m 1'
_space_group_IT_number 164
_space_group_name_Hall '-P 3 2"'
loop_
_atom_site_label
_atom_site_type_symbol
_atom_site_fract_x
_atom_site_fract_y
_atom_site_fract_z
Ac1 Ac 0.3333 0.6667 0.3148
In1 In 0.1856 0.3712 0.7951
Ni1 Ni 0.0000 0.0000 0.0000
Ag1 Ag 0.0000 0.0000 0.5000
```



Record 10
Ac3TlFe: relaxed, PBE-GGA.

CIF file:
```
data_Ac3TlFe
_cell_length_a 5.5109
_cell_length_b 5.5109
_cell_length_c 5.5109
_cell_angle_alpha 90.00
_cell_angle_beta 90.00
_cell_angle_gamma 90.00
_space_group_name_H-M_alt 'P m -3 m'
_space_group_IT_number 221
_space_group_name_Hall '-P 4 2 3'
loop_
_atom_site_label
_atom_site_type_symbol
_atom_site_fract_x
_atom_site_fract_y
_atom_site_fract_z
Ac1 Ac 0.0000 0.0000 0.5000
Tl1 Tl 0.5000 0.5000 0.5000
Fe1 Fe 0.0000 0.0000 0.0000
```



Record 11
NaTaAlTe2: relaxed, PBE-GGA.

Summary:
Raw formation energy in eV per atom: 1.444

CIF file:
```
data_NaTaAlTe2
_cell_length_a 5.4192
_cell_length_b 5.4192
_cell_length_c 5.1825
_cell_angle_alpha 90.00
_cell_angle_beta 90.00
_cell_angle_gamma 90.00
_space_group_name_H-M_alt 'P 4/m m m'
_space_group_IT_number 123
_space_group_name_Hall '-P 4 2'
loop_
_atom_site_label
_atom_site_type_symbol
_atom_site_fract_x
_atom_site_fract_y
_atom_site_fract_z
Na1 Na 0.0000 0.0000 0.0000
Ta1 Ta 0.0000 0.0000 0.5000
Al1 Al 0.5000 0.5000 0.5000
Te1 Te 0.0000 0.5000 0.0000
```



Record 12
BaTe2MoI: relaxed, PBE-GGA.

Summary:
Raw formation energy in eV per atom: -0.419

CIF file:
```
data_BaTe2MoI
_cell_length_a 5.3595
_cell_length_b 5.3595
_cell_length_c 5.8762
_cell_angle_alpha 90.00
_cell_angle_beta 90.00
_cell_angle_gamma 90.00
_space_group_name_H-M_alt 'P 4/m m m'
_space_group_IT_number 123
_space_group_name_Hall '-P 4 2'
loop_
_atom_site_label
_atom_site_type_symbol
_atom_site_fract_x
_atom_site_fract_y
_atom_site_fract_z
Ba1 Ba 0.0000 0.0000 0.0000
Te1 Te 0.0000 0.5000 0.5000
Mo1 Mo 0.5000 0.5000 0.5000
I1 I 0.5000 0.5000 0.0000
```



Record 13
TbNd2HoTe5: relaxed, PBE-GGA.

Summary:
Raw formation energy in eV per atom: -0.779

CIF file:
```
data_TbNd2HoTe5
_cell_length_a 5.5640
_cell_length_b 5.5640
_cell_length_c 11.5572
_cell_angle_alpha 90.00
_cell_angle_beta 90.00
_cell_angle_gamma 90.00
_space_group_name_H-M_alt 'P 4/m m m'
_space_group_IT_number 123
_space_group_name_Hall '-P 4 2'
loop_
_atom_site_label
_atom_site_type_symbol
_atom_site_fract_x
_atom_site_fract_y
_atom_site_fract_z
Tb1 Tb 0.0000 0.0000 0.0000
Nd1 Nd 0.5000 0.5000 0.1617
Ho1 Ho 0.0000 0.0000 0.5000
Te1 Te 0.0000 0.0000 0.2557
Te2 Te 0.0000 0.5000 0.0000
Te3 Te 0.5000 0.5000 0.5000
```



Record 14
BeBPb: relaxed, PBE-GGA.

CIF file:
```
data_BeBPb
_cell_length_a 3.0550
_cell_length_b 3.4465
_cell_length_c 10.0241
_cell_angle_alpha 87.56
_cell_angle_beta 88.80
_cell_angle_gamma 71.54
_space_group_name_H-M_alt 'P 1'
_space_group_IT_number 1
loop_
_space_group_symop_operation_xyz
'x,y,z'
loop_
_atom_site_label
_atom_site_type_symbol
_atom_site_fract_x
_atom_site_fract_y
_atom_site_fract_z
Be1 Be 0.0000 0.0000 0.0000
Be2 Be 0.2955 0.5804 0.7764
B1 B 0.4786 0.0580 0.8745
B2 B 0.9548 0.1624 0.8152
Pb1 Pb 0.6391 0.6271 0.2036
Pb2 Pb 0.9556 0.2606 0.5428
```



Record 15
Tm4BiPtSe2: relaxed, PBE-GGA.

Summary:
Raw formation energy in eV per atom: -1.296

CIF file:
```
data_Tm4BiPtSe2
_cell_length_a 7.1141
_cell_length_b 4.0917
_cell_length_c 7.4222
_cell_angle_alpha 90.00
_cell_angle_beta 108.75
_cell_angle_gamma 90.00
_space_group_name_H-M_alt 'P 1 2/m 1'
_space_group_IT_number 10
loop_
_space_group_symop_operation_xyz
'x,y,z'
'-x,-y,-z'
'-x,y,-z'
'x,-y,z'
loop_
_atom_site_label
_atom_site_type_symbol
_atom_site_fract_x
_atom_site_fract_y
_atom_site_fract_z
Tm1 Tm 0.2185 0.0000 0.2356
Tm2 Tm 0.2282 0.5000 0.7421
Bi1 Bi 0.5000 0.0000 0.0000
Pt1 Pt 0.0000 0.5000 0.0000
Se1 Se 0.0000 0.0000 0.5000
Se2 Se 0.5000 0.5000 0.5000
```



Record 16
SbTe2RhW: relaxed, PBE-GGA.

Summary:
Raw formation energy in eV per atom: 1.180

CIF file:
```
data_SbTe2RhW
_cell_length_a 5.2043
_cell_length_b 5.2043
_cell_length_c 4.9584
_cell_angle_alpha 90.00
_cell_angle_beta 90.00
_cell_angle_gamma 90.00
_space_group_name_H-M_alt 'P 4/m m m'
_space_group_IT_number 123
_space_group_name_Hall '-P 4 2'
loop_
_atom_site_label
_atom_site_type_symbol
_atom_site_fract_x
_atom_site_fract_y
_atom_site_fract_z
Sb1 Sb 0.0000 0.0000 0.0000
Te1 Te 0.0000 0.5000 0.5000
Rh1 Rh 0.0000 0.0000 0.5000
W1 W 0.5000 0.5000 0.0000
```



Record 17
ThSc2Ni: relaxed, PBE-GGA.

CIF file:
```
data_ThSc2Ni
_cell_length_a 6.6159
_cell_length_b 9.2700
_cell_length_c 5.9970
_cell_angle_alpha 90.00
_cell_angle_beta 90.00
_cell_angle_gamma 90.00
_space_group_name_H-M_alt 'P n m a'
_space_group_IT_number 62
loop_
_space_group_symop_operation_xyz
'x,y,z'
'-x,-y,-z'
'-x+1/2,-y,z+1/2'
'x+1/2,y,-z+1/2'
'x+1/2,-y+1/2,-z+1/2'
'-x+1/2,y+1/2,z+1/2'
'-x,y+1/2,-z'
'x,-y+1/2,z'
loop_
_atom_site_label
_atom_site_type_symbol
_atom_site_fract_x
_atom_site_fract_y
_atom_site_fract_z
Th1 Th 0.0320 0.2500 0.1421
Sc1 Sc 0.1782 0.0631 0.6656
Ni1 Ni 0.1155 0.7500 0.4211
```



Record 18
RbHfB3: relaxed, PBE-GGA.

CIF file:
```
data_RbHfB3
_cell_length_a 4.3339
_cell_length_b 4.3339
_cell_length_c 4.3339
_cell_angle_alpha 90.00
_cell_angle_beta 90.00
_cell_angle_gamma 90.00
_space_group_name_H-M_alt 'P m -3 m'
_space_group_IT_number 221
_space_group_name_Hall '-P 4 2 3'
loop_
_atom_site_label
_atom_site_type_symbol
_atom_site_fract_x
_atom_site_fract_y
_atom_site_fract_z
Rb1 Rb 0.0000 0.0000 0.0000
Hf1 Hf 0.5000 0.5000 0.5000
B1 B 0.0000 0.0000 0.5000
```



Record 19
Er2TiAl3Pt4: relaxed, PBE-GGA.

CIF file:
```
data_Er2TiAl3Pt4
_cell_length_a 4.1066
_cell_length_b 4.1066
_cell_length_c 10.9683
_cell_angle_alpha 90.00
_cell_angle_beta 90.00
_cell_angle_gamma 90.00
_space_group_name_H-M_alt 'P -4 m 2'
_space_group_IT_number 115
loop_
_space_group_symop_operation_xyz
'x,y,z'
'y,-x,-z'
'-x,-y,z'
'-y,x,-z'
'-x,y,z'
'-y,-x,-z'
'x,-y,z'
'y,x,-z'
loop_
_atom_site_label
_atom_site_type_symbol
_atom_site_fract_x
_atom_site_fract_y
_atom_site_fract_z
Er1 Er 0.0000 0.5000 0.2464
Ti1 Ti 0.0000 0.0000 0.5000
Al1 Al 0.0000 0.5000 0.8685
Al2 Al 0.5000 0.5000 0.5000
Pt1 Pt 0.0000 0.0000 0.0000
Pt2 Pt 0.0000 0.5000 0.6436
Pt3 Pt 0.5000 0.5000 0.0000
```



Record 20
OsAu2Br: relaxed, PBE-GGA.

Summary:
Raw formation energy in eV per atom: 0.699

CIF file:
```
data_OsAu2Br
_cell_length_a 2.7068
_cell_length_b 3.6661
_cell_length_c 8.3996
_cell_angle_alpha 90.00
_cell_angle_beta 90.00
_cell_angle_gamma 90.00
_space_group_name_H-M_alt 'P m m m'
_space_group_IT_number 47
loop_
_space_group_symop_operation_xyz
'x,y,z'
'-x,-y,-z'
'-x,-y,z'
'x,y,-z'
'x,-y,-z'
'-x,y,z'
'-x,y,-z'
'x,-y,z'
loop_
_atom_site_label
_atom_site_type_symbol
_atom_site_fract_x
_atom_site_fract_y
_atom_site_fract_z
Os1 Os 0.0000 0.0000 0.0000
Au1 Au 0.5000 0.5000 0.1907
Br1 Br 0.5000 0.0000 0.5000
```



Number 1: uncorrected energy -62.5 eV for the cell shown, Fermi-level density of states 0.00 states/eV/f.u.. Number 2: uncorrected energy -224.8 eV for the cell shown, Fermi-level density of states 11.02 states/eV/f.u.. Number 3: uncorrected energy -17.4 eV for the cell shown, Fermi-level density of states 3.41 states/eV/f.u.. Number 4: uncorrected energy -20.0 eV for the cell shown, Fermi-level density of states 2.45 states/eV/f.u.. Number 5: uncorrected energy -176.5 eV for the cell shown, Fermi-level density of states 2.23 states/eV/f.u.. Number 6: uncorrected energy -90.5 eV for the cell shown, Fermi-level density of states 6.90 states/eV/f.u.. Number 7: uncorrected energy -17.0 eV for the cell shown, Fermi-level density of states 3.35 states/eV/f.u.. Number 8: uncorrected energy -117.2 eV for the cell shown, Fermi-level density of states 5.15 states/eV/f.u.. Number 9: uncorrected energy -36.4 eV for the cell shown, Fermi-level density of states 4.84 states/eV/f.u.. Number 10: uncorrected energy -23.4 eV for the cell shown, Fermi-level density of states 5.94 states/eV/f.u.. Number 11: uncorrected energy -16.0 eV for the cell shown, Fermi-level density of states 4.11 states/eV/f.u.. Number 12: uncorrected energy -22.7 eV for the cell shown, Fermi-level density of states 3.11 states/eV/f.u.. Number 13: uncorrected energy -41.5 eV for the cell shown, Fermi-level density of states 4.91 states/eV/f.u.. Number 14: uncorrected energy -26.2 eV for the cell shown, Fermi-level density of states 0.85 states/eV/f.u.. Number 15: uncorrected energy -45.1 eV for the cell shown, Fermi-level density of states 3.11 states/eV/f.u.. Number 16: uncorrected energy -24.8 eV for the cell shown, Fermi-level density of states 3.69 states/eV/f.u.. Number 17: uncorrected energy -107.4 eV for the cell shown, Fermi-level density of states 5.39 states/eV/f.u.. Number 18: uncorrected energy -15.6 eV for the cell shown, Fermi-level density of states 4.16 states/eV/f.u.. Number 19: uncorrected energy -63.0 eV for the cell shown, Fermi-level density of states 7.83 states/eV/f.u.. Number 20: uncorrected energy -16.7 eV for the cell shown, Fermi-level density of states 2.97 states/eV/f.u..